# BeCrTc2Pd | the Alexandria database | GGA-PBE | optimized geometry
data_BeCrTc2Pd
_cell_length_a 4.8127
_cell_length_b 4.8127
_cell_length_c 4.3754
_cell_angle_alpha 90.00
_cell_angle_beta 90.00
_cell_angle_gamma 90.00
_symmetry_space_group_name_H-M 'P 4/m m m'
_symmetry_Int_Tables_number 123
_symmetry_space_group_name_Hall '-P 4 2'
loop_
_atom_site_label
_atom_site_fract_x
_atom_site_fract_y
_atom_site_fract_z
Be1 0.0000 0.0000 0.0000
Cr1 0.5000 0.5000 0.0000
Tc1 0.0000 0.5000 0.5000
Pd1 0.5000 0.5000 0.5000
# ΔE_f   2.28 eV/atom
# Density   5.95 Mg/m³
# Total energy   -27.86 eV per cell

# La2NdIr2I2 | the Alexandria database | GGA-PBE | optimized geometry
data_La2NdIr2I2
_cell_length_a 5.3228
_cell_length_b 5.3228
_cell_length_c 16.7358
_cell_angle_alpha 90.00
_cell_angle_beta 90.00
_cell_angle_gamma 90.00
_symmetry_space_group_name_H-M 'I 4/m m m'
_symmetry_Int_Tables_number 139
_symmetry_space_group_name_Hall '-I 4 2'
loop_
_atom_site_label
_atom_site_fract_x
_atom_site_fract_y
_atom_site_fract_z
La1 0.0000 0.0000 0.1026
Nd1 0.0000 0.0000 0.5000
Ir1 0.0000 0.5000 0.0000
I1 0.0000 0.0000 0.3048
# E_form (uncorrected)   -669 meV per atom
# Density   7.43 Mg/m³
# Total energy   -80.25 eV per cell

Copy entry 1 word for word.
# BeCrTc2Pd | the Alexandria database | GGA-PBE | optimized geometry
data_BeCrTc2Pd
_cell_length_a 4.8127
_cell_length_b 4.8127
_cell_length_c 4.3754
_cell_angle_alpha 90.00
_cell_angle_beta 90.00
_cell_angle_gamma 90.00
_symmetry_space_group_name_H-M 'P 4/m m m'
_symmetry_Int_Tables_number 123
_symmetry_space_group_name_Hall '-P 4 2'
loop_
_atom_site_label
_atom_site_fract_x
_atom_site_fract_y
_atom_site_fract_z
Be1 0.0000 0.0000 0.0000
Cr1 0.5000 0.5000 0.0000
Tc1 0.0000 0.5000 0.5000
Pd1 0.5000 0.5000 0.5000
# ΔE_f   2.28 eV/atom
# Density   5.95 Mg/m³
# Total energy   -27.86 eV per cell

Q: Which value of total energy does entry 1 give?
A: -27.86 eV per cell